# MgCrRh2F

A relaxed MgCrRh2F crystal (PBE with a Hubbard U, Alexandria).

Computed properties:
**Calculated total energy**: -25.43 eV per formula unit

a b c (Å): 4.8095 4.8095 3.7447
angles (deg): 90.00 90.00 90.00
Space group P4/mmm (No. 123)
Symmetry-distinct sites (fractional):
Mg1 0.0000 0.0000 0.0000 [1 per cell]
Cr1 0.5000 0.5000 0.5000 [1 per cell]
Rh1 0.0000 0.5000 0.5000 [2 per cell]
F1 0.5000 0.5000 0.0000 [1 per cell]